No. 1
Compound: CsSrTa2
Source: Alexandria via LeMat-Bulk
Functional: PBE
Structure: optimized geometry

a b c (Å): 5.3626 5.3626 5.3626
angles (deg): 60.00 60.00 60.00
Closest atoms and distances in Å follow each position.
Atoms (fractional coordinates):
Cs: 0.0000 0.0000 0.0000  8 Ta 3.28
Sr: 0.5000 0.5000 0.5000  8 Ta 3.28
Ta: 0.2500 0.2500 0.2500  4 Sr 3.28, 4 Cs 3.28
Ta: 0.7500 0.7500 0.7500  4 Sr 3.28, 4 Cs 3.28

## Properties
space-group type	No. 225
final energy	-4.274	eV per atom
energy above the most stable polymorph in this dataset	165.2	meV per atom
theoretical density	8.869	Mg/m³
E_form	2.286	eV/atom

No. 2
Compound: CsSrTa
Source: Alexandria via LeMat-Bulk
Functional: PBE
Structure: optimized geometry

a b c (Å): 4.2569 5.1018 28.9536
angles (deg): 90.00 90.00 90.00
Closest atoms and distances in Å follow each position.
Atoms (fractional coordinates):
Cs: 0.0432 0.2500 0.0783  1 Ta 4.23, 2 Cs 4.26, 2 Sr 4.68
Cs: 0.4568 0.7500 0.5783  1 Ta 4.23, 2 Cs 4.26, 2 Sr 4.68
Cs: 0.5432 0.2500 0.4217  1 Ta 4.23, 2 Cs 4.26, 2 Sr 4.68
Cs: 0.9568 0.7500 0.9217  1 Ta 4.23, 2 Cs 4.26, 2 Sr 4.68
Sr: 0.0239 0.7500 0.3062  6 Ta 3.44-3.48
Sr: 0.4761 0.2500 0.8062  6 Ta 3.44-3.48
Sr: 0.5239 0.7500 0.1938  6 Ta 3.44-3.48
Sr: 0.9761 0.2500 0.6938  6 Ta 3.44-3.48
Ta: 0.0235 0.2500 0.2245  2 Ta 2.59
Ta: 0.4765 0.7500 0.7245  2 Ta 2.59
Ta: 0.5235 0.2500 0.2755  2 Ta 2.59
Ta: 0.9765 0.7500 0.7755  2 Ta 2.59

## Properties
space-group type	No. 62
final energy	-4.070	eV per atom
energy above the most stable polymorph in this dataset	210.0	meV per atom
theoretical density	4.241	Mg/m³
E_form	0.726	eV/atom

No. 3
Compound: CsSrTa
Source: Alexandria via LeMat-Bulk
Functional: PBE
Structure: optimized geometry

a b c (Å): 6.3143 6.3143 7.3338
angles (deg): 90.00 90.00 120.00
Closest atoms and distances in Å follow each position.
Atoms (fractional coordinates):
Cs: 0.0000 0.0000 0.0000  2 Cs 3.67, 6 Ta 4.08, 6 Sr 4.08
Cs: 0.0000 0.0000 0.5000  2 Cs 3.67, 6 Ta 4.08, 6 Sr 4.08
Sr: 0.3333 0.6667 0.2500  5 Ta 3.65-3.67, 6 Cs 4.08
Sr: 0.6667 0.3333 0.7500  5 Ta 3.65-3.67, 6 Cs 4.08
Ta: 0.3333 0.6667 0.7500  5 Sr 3.65-3.67, 6 Cs 4.08
Ta: 0.6667 0.3333 0.2500  5 Sr 3.65-3.67, 6 Cs 4.08

## Properties
space-group type	No. 194
final energy	-3.155	eV per atom
energy above the most stable polymorph in this dataset	1125.2	meV per atom
theoretical density	5.265	Mg/m³
E_form	1.641	eV/atom

No. 4
Compound: CsSrTa
Source: Alexandria via LeMat-Bulk
Functional: PBE
Structure: optimized geometry

a b c (Å): 5.9872 5.9872 5.9872
angles (deg): 60.00 60.00 60.00
Closest atoms and distances in Å follow each position.
Atoms (fractional coordinates):
Cs: 0.0000 0.0000 0.0000  4 Ta 3.67
Sr: 0.5000 0.5000 0.5000  4 Ta 3.67
Ta: 0.7500 0.7500 0.7500  4 Sr 3.67, 4 Cs 3.67

## Properties
space-group type	No. 216
final energy	-3.006	eV per atom
energy above the most stable polymorph in this dataset	1273.8	meV per atom
theoretical density	4.393	Mg/m³
E_form	1.790	eV/atom

No. 5
Compound: CsSrTa
Source: Alexandria via LeMat-Bulk
Functional: PBE
Structure: optimized geometry

a b c (Å): 4.6629 4.6661 17.0771
angles (deg): 97.73 90.06 119.97
Closest atoms and distances in Å follow each position.
Atoms (fractional coordinates):
Cs: 0.0000 0.0000 0.0000  6 Cs 4.66-4.67, 3 Sr 4.81-4.85
Cs: 0.2429 0.4825 0.7273  6 Cs 4.66-4.67, 3 Sr 4.80-4.85
Sr: 0.4067 0.8126 0.2379  6 Ta 3.43
Sr: 0.4905 0.9783 0.4896  6 Ta 3.43
Ta: 0.1151 0.2285 0.3637  3 Ta 2.69
Ta: 0.7818 0.5618 0.3637  3 Ta 2.69

## Properties
space-group type	No. 1
final energy	-4.208	eV per atom
energy above the most stable polymorph in this dataset	72.2	meV per atom
theoretical density	4.194	Mg/m³
E_form	0.588	eV/atom

No. 6
Compound: CsSrTa
Source: Alexandria via LeMat-Bulk
Functional: PBE
Structure: optimized geometry

a b c (Å): 6.1773 6.1773 9.1442
angles (deg): 90.00 90.00 120.00
Closest atoms and distances in Å follow each position.
Atoms (fractional coordinates):
Cs: 0.0000 0.0000 0.0000  6 Ta 3.74, 6 Sr 4.03
Cs: 0.0000 0.0000 0.5000  6 Sr 4.46, 2 Cs 4.57, 6 Ta 4.96
Sr: 0.6667 0.3333 0.2063  3 Ta 3.65, 1 Sr 3.77, 3 Cs 4.03
Sr: 0.6667 0.3333 0.7937  3 Ta 3.65, 1 Sr 3.77, 3 Cs 4.03
Ta: 0.3333 0.6667 0.1236  1 Ta 2.26
Ta: 0.3333 0.6667 0.8764  1 Ta 2.26

## Properties
space-group type	No. 187
final energy	-3.541	eV per atom
energy above the most stable polymorph in this dataset	739.3	meV per atom
theoretical density	4.412	Mg/m³
E_form	1.255	eV/atom